Here is Li2MnO2F after structural relaxation from Alexandria via LeMat-Bulk. Energies are from GGA+U.

Values from the calculation:
Total magnetic moment in μB/cell: 16.000
Electronic total energy in eV/atom: -5.95
Offset from the most stable computed form in meV/atom: 65

abc: 5.115 5.201 9.906
angles: 84.59 78.29 60.92
Space group P-1 (No. 2)
Inequivalent atoms, fractional coordinates:
Li 0.000 0.000 0.000 [1 per cell]
Li 0.050 0.362 0.747 [2 per cell]
Li 0.131 0.687 0.505 [2 per cell]
Li 0.296 0.379 0.998 [2 per cell]
Li 0.500 0.000 0.500 [1 per cell]
Mn 0.243 0.995 0.247 [2 per cell]
Mn 0.404 0.675 0.749 [2 per cell]
O 0.055 0.681 0.872 [2 per cell]
O 0.123 0.985 0.637 [2 per cell]
O 0.245 0.290 0.358 [2 per cell]
O 0.322 0.655 0.145 [2 per cell]
F 0.371 0.026 0.880 [2 per cell]
F 0.441 0.340 0.613 [2 per cell]